1.
# AcTmInHg (PBE-GGA, optimized geometry)
data_AcTmInHg
_chemical_formula_sum 'Ac4 Tm4 In4 Hg4'
_space_group_name_H-M_alt 'F -4 3 m'
_space_group_IT_number 216
_space_group_name_Hall 'F -4 2 3'
_cell_length_a 7.8340
_cell_length_b 7.8340
_cell_length_c 7.8340
_cell_angle_alpha 90.00
_cell_angle_beta 90.00
_cell_angle_gamma 90.00
loop_
_atom_site_label
_atom_site_fract_x
_atom_site_fract_y
_atom_site_fract_z
Ac1 0.0000 0.0000 0.0000
Tm1 0.0000 0.0000 0.5000
In1 0.2500 0.2500 0.7500
Hg1 0.2500 0.2500 0.2500
# **Formation energy from the elements**: -38 kJ per mole of atoms
# **Magnetization**: 0.00 μB per cell

=====

2.
# AcZr2Tl (PBE-GGA, optimized geometry)
data_AcZr2Tl
_chemical_formula_sum 'Ac3 Zr6 Tl3'
_space_group_name_H-M_alt 'R -3 m'
_space_group_IT_number 166
_space_group_name_Hall '-R 3 2"'
_cell_length_a 3.3324
_cell_length_b 3.3324
_cell_length_c 34.7261
_cell_angle_alpha 90.00
_cell_angle_beta 90.00
_cell_angle_gamma 120.00
loop_
_atom_site_label
_atom_site_fract_x
_atom_site_fract_y
_atom_site_fract_z
Ac1 0.0000 0.0000 0.0000
Zr1 0.0000 0.0000 0.0935
Tl1 0.0000 0.0000 0.5000
# **Formation energy from the elements**: 39 kJ per mole of atoms
# **Magnetization**: 0.00 μB per cell

=====

3.
# K2TlSiSe4 (PBE-GGA, optimized geometry)
data_K2TlSiSe4
_chemical_formula_sum 'K8 Tl4 Si4 Se16'
_space_group_name_H-M_alt 'I m m a'
_space_group_IT_number 74
_space_group_name_Hall '-I 2b 2'
_cell_length_a 8.0556
_cell_length_b 9.0334
_cell_length_c 12.4399
_cell_angle_alpha 90.00
_cell_angle_beta 90.00
_cell_angle_gamma 90.00
loop_
_atom_site_label
_atom_site_fract_x
_atom_site_fract_y
_atom_site_fract_z
K1 0.0000 0.0000 0.0000
K2 0.2500 0.2500 0.2500
Tl1 0.0000 0.0000 0.5000
Si1 0.2500 0.2500 0.7500
Se1 0.0000 0.0549 0.7487
Se2 0.2447 0.2500 0.5571
# **Uncorrected formation energy**: -0.500 eV per atom
# **Magnetization**: 0.00 μB per cell

=====

4.
# VInSe2Br (PBE-GGA, optimized geometry)
data_VInSe2Br
_chemical_formula_sum 'V1 In1 Se2 Br1'
_space_group_name_H-M_alt 'P 4/m m m'
_space_group_IT_number 123
_space_group_name_Hall '-P 4 2'
_cell_length_a 4.8608
_cell_length_b 4.8608
_cell_length_c 5.4798
_cell_angle_alpha 90.00
_cell_angle_beta 90.00
_cell_angle_gamma 90.00
loop_
_atom_site_label
_atom_site_fract_x
_atom_site_fract_y
_atom_site_fract_z
V1 0.0000 0.0000 0.0000
In1 0.5000 0.5000 0.5000
Se1 0.0000 0.5000 0.0000
Br1 0.0000 0.0000 0.5000
# **Uncorrected formation energy**: -0.368 eV per atom
# **Energy above the lowest structure with this stoichiometry**: 0 meV/atom
# **Magnetization**: 1.22 μB per cell

=====

Repeat the first record exactly.
# AcTmInHg (PBE-GGA, optimized geometry)
data_AcTmInHg
_chemical_formula_sum 'Ac4 Tm4 In4 Hg4'
_space_group_name_H-M_alt 'F -4 3 m'
_space_group_IT_number 216
_space_group_name_Hall 'F -4 2 3'
_cell_length_a 7.8340
_cell_length_b 7.8340
_cell_length_c 7.8340
_cell_angle_alpha 90.00
_cell_angle_beta 90.00
_cell_angle_gamma 90.00
loop_
_atom_site_label
_atom_site_fract_x
_atom_site_fract_y
_atom_site_fract_z
Ac1 0.0000 0.0000 0.0000
Tm1 0.0000 0.0000 0.5000
In1 0.2500 0.2500 0.7500
Hg1 0.2500 0.2500 0.2500
# **Formation energy from the elements**: -38 kJ per mole of atoms
# **Magnetization**: 0.00 μB per cell

=====

Q: magnetization of number 4 (VInSe2Br)?
A: 1.22 μB per cell